Record 1
Compound: Ca2Tl3Au2
Source: Alexandria
Functional: PBE-GGA
Structure: optimized geometry

a = 3.8280 Å, b = 4.6141 Å, c = 10.9249 Å
α = 102.19°, β = 90.00°, γ = 90.00°
With the nearest neighbours (Å) after each atom.
Atoms (fractional coordinates):
Tl (0.0000, 0.0000, 0.0000)  8 Tl 3.40, 2 Ca 3.62
Tl (0.5000, 0.4252, 0.8505)  1 Au 2.93, 1 Tl 3.19
Tl (0.5000, 0.5748, 0.1495)  1 Au 2.93, 1 Tl 3.19
Ca (0.0000, 0.1694, 0.3388)  6 Au 3.13-3.18
Ca (0.0000, 0.8306, 0.6612)  6 Au 3.13-3.18
Au (0.5000, 0.7117, 0.4235)  2 Au 2.83, 1 Tl 2.93, 4 Ca 3.13
Au (0.5000, 0.2883, 0.5765)  2 Au 2.83, 1 Tl 2.93, 4 Ca 3.13

Calculated values
As for the formation energy: -0.4564 eV/atom. For the density of states at the Fermi level, the calculation gives 4.03 states/eV/cell. The symmetry is Cmmm (65). Its total energy is -0.1095 Ha/atom.

=====

Record 2
Compound: Mn2PRh
Source: Alexandria
Functional: PBE-GGA
Structure: optimized geometry

a = 2.8065 Å, b = 2.8065 Å, c = 6.3336 Å
α = 90.00°, β = 90.00°, γ = 90.00°
With the nearest neighbours (Å) after each atom.
Atoms (fractional coordinates):
Mn (0.0000, 0.0000, 0.0195)  8 Mn 2.61-2.81, 4 Rh 2.75, 1 P 2.88
Mn (0.5000, 0.5000, 0.2868)  4 P 2.31
P (0.0000, 0.0000, 0.4744)  4 Mn 2.31, 4 Rh 2.52
Rh (0.5000, 0.5000, 0.7193)  4 P 2.52, 5 Mn 2.74-2.75, 4 Rh 2.81

Calculated values
As for the formation energy: -0.2182 eV/atom. For the density of states at the Fermi level, the calculation gives 2.65 states/eV/cell. The symmetry is P4mm (99). Its total energy is -0.2937 Ha/atom.

=====

Record 3
Compound: Na2Ho2ThTe6
Source: Alexandria
Functional: PBE-GGA
Structure: optimized geometry

a = 7.6635 Å, b = 7.6635 Å, c = 8.0573 Å
α = 99.11°, β = 99.11°, γ = 120.01°
With the nearest neighbours (Å) after each atom.
Atoms (fractional coordinates):
Na (0.8350, 0.1650, 0.0000)  6 Te 3.27-3.29
Na (0.1650, 0.8350, 0.0000)  6 Te 3.27-3.29
Te (0.4150, 0.0777, 0.7319)  2 Ho 3.09, 1 Th 3.14, 2 Na 3.27-3.29
Te (0.7372, 0.7372, 0.7311)  2 Ho 3.09, 1 Th 3.15, 2 Na 3.28
Te (0.2628, 0.2628, 0.2689)  2 Ho 3.09, 1 Th 3.15, 2 Na 3.28
Te (0.0777, 0.4150, 0.7319)  2 Ho 3.09, 1 Th 3.14, 2 Na 3.27-3.29
Te (0.9223, 0.5850, 0.2681)  2 Ho 3.09, 1 Th 3.14, 2 Na 3.27-3.29
Te (0.5850, 0.9223, 0.2681)  2 Ho 3.09, 1 Th 3.14, 2 Na 3.27-3.29
Ho (0.6671, 0.3329, 0.5000)  6 Te 3.09
Ho (0.3329, 0.6671, 0.5000)  6 Te 3.09
Th (0.0000, 0.0000, 0.5000)  6 Te 3.14-3.15

Calculated values
The symmetry is C2/m (12). Its total energy is -0.1739 Ha/atom.